! Li4ZnInCu2 | OQMD via LeMat-Bulk | GGA-PBE | relaxed; values from VASP
! Crystal system = tetragonal
! Symmetry = P-4m2
! Final energy = -2.556 eV/atom
&SYSTEM
  ibrav = 0, nat = 8, ntyp = 4
/
ATOMIC_SPECIES
Li 6.94 Li.upf
Cu 63.55 Cu.upf
Zn 65.41 Zn.upf
In 114.82 In.upf
CELL_PARAMETERS angstrom
4.318 0.000 0.000
0.000 4.318 0.000
0.000 0.000 6.177
ATOMIC_POSITIONS angstrom
Li 0.000 2.159 1.705
Li 2.159 2.159 0.000
Li 0.000 0.000 3.088
Li 2.159 0.000 4.472
Cu 0.000 2.159 4.525
Cu 2.159 0.000 1.652
Zn 2.159 2.159 3.088
In 0.000 0.000 0.000